1.
First-principles (PBE-GGA) data for crystalline K14NaPt at its relaxed geometry, as listed in the Alexandria database.

```
K14NaPt
1.0
-8.433 -3.309 -0.894
3.294 -4.069 7.447
-4.430 9.378 7.084
K Na Pt
14 1 1
Direct
0.100 0.900 0.000
0.568 0.432 0.000
0.132 0.390 0.500
0.042 0.376 0.000
0.610 0.868 0.500
0.624 0.958 0.000
0.462 0.186 0.670
0.462 0.186 0.330
0.814 0.538 0.670
0.814 0.538 0.330
0.330 0.670 0.763
0.330 0.670 0.237
0.908 0.092 0.703
0.908 0.092 0.297
0.134 0.866 0.500
0.760 0.240 0.500
```

Output
**Total magnetization**: 0.00 μB/atom
**ρ**: 1.26 g cm⁻³
**Energy of formation**: 0.020 eV/atom
**D(E_F)**: 10.87 states/eV/f.u.
**SG**: Amm2

2.
First-principles (PBE-GGA) data for crystalline Ti3W at its relaxed geometry, as listed in the Alexandria database.

```
Ti3W
1.0
4.445 0.000 0.000
0.000 5.595 -0.191
0.000 -1.513 5.390
Ti W
6 2
Direct
0.250 0.116 0.884
0.750 0.854 0.604
0.750 0.884 0.116
0.250 0.146 0.396
0.250 0.604 0.854
0.750 0.396 0.146
0.250 0.635 0.365
0.750 0.365 0.635
```

Output
**Total magnetization**: 0.00 μB/atom
**ρ**: 8.19 g cm⁻³
**Energy of formation**: 0.041 eV/atom
**D(E_F)**: 6.47 states/eV/f.u.
**SG**: Cmcm

3.
First-principles (PBE-GGA) data for crystalline LiZnCo2 at its relaxed geometry, as listed in the Alexandria database.

```
LiZnCo2
1.0
4.234 0.000 0.000
0.000 2.465 -0.053
0.000 0.679 4.530
Co Li Zn
2 1 1
Direct
0.000 0.016 0.003
0.000 0.484 0.497
0.500 0.250 0.250
0.500 0.750 0.750
```

Output
**Total magnetization**: 0.73 μB/atom
**ρ**: 6.66 g cm⁻³
**Energy of formation**: 0.073 eV/atom
**D(E_F)**: 3.54 states/eV/f.u.
**SG**: P2/m

4.
First-principles (PBE-GGA) data for crystalline Ca2Ge2Se at its relaxed geometry, as listed in the Alexandria database.

```
Ca2Ge2Se
1.0
-3.707 -6.071 3.573
6.289 -4.671 -1.411
1.753 1.197 3.853
Ge Ca Se
4 4 2
Direct
0.102 0.602 0.500
0.602 0.898 0.500
0.898 0.398 0.500
0.398 0.102 0.500
0.305 0.805 0.000
0.805 0.695 0.000
0.695 0.195 0.000
0.195 0.305 0.000
0.000 0.000 0.000
0.500 0.500 0.000
```

Output
**Total magnetization**: 0.00 μB/atom
**ρ**: 3.63 g cm⁻³
**Polymorph energy (0 for the lowest one)**: 0.00 kcal/mol of atoms
**Formation energy (no corrections)**: -0.71 eV per atom
**D(E_F)**: 2.28 states/eV/f.u.
**SG**: P4/mbm

The lowest ρ belongs to which entry? K14NaPt